Entry from Alexandria via LeMat-Bulk: Ca2TcNi after structural relaxation (GGA-PBE).

Lattice parameters (Å, degrees): 9.222 2.900 6.013 90.00 97.26 90.00
Fractional coordinates of all 8 atoms:
Ca: 0.246 0.000 0.249
Ca: 0.254 0.500 0.751
Ca: 0.746 0.500 0.249
Ca: 0.754 0.000 0.751
Tc: 0.000 0.000 0.500
Tc: 0.500 0.500 0.500
Ni: 0.000 0.500 0.000
Ni: 0.500 0.000 0.000

Properties
Energy relative to the lowest polymorph listed for this composition ... 1.91 eV/f.u.
Total energy ... -0.1605 Ha/atom
ρ ... 4.9 Mg/m³

=====

Entry from Alexandria via LeMat-Bulk: CaTcNi2 after structural relaxation (GGA-PBE).

Lattice parameters (Å, degrees): 8.183 2.746 5.960 90.00 97.16 90.00
Fractional coordinates of all 8 atoms:
Ca: 0.000 0.000 0.000
Ca: 0.500 0.500 0.000
Tc: 0.000 0.500 0.500
Tc: 0.500 0.000 0.500
Ni: 0.243 0.000 0.670
Ni: 0.257 0.500 0.330
Ni: 0.743 0.500 0.670
Ni: 0.757 0.000 0.330

Properties
Energy relative to the lowest polymorph listed for this composition ... 0.51 eV/f.u.
Total energy ... -0.2096 Ha/atom
ρ ... 6.4 Mg/m³

=====

Entry from Alexandria via LeMat-Bulk: CaTcNi2 after structural relaxation (GGA-PBE).

Lattice parameters (Å, degrees): 9.725 2.664 4.762 90.00 105.87 90.00
Fractional coordinates of all 8 atoms:
Ca: 0.000 0.000 0.000
Ca: 0.500 0.500 0.000
Tc: 0.210 0.000 0.617
Tc: 0.710 0.500 0.617
Ni: 0.263 0.500 0.170
Ni: 0.467 0.000 0.494
Ni: 0.763 0.000 0.170
Ni: 0.967 0.500 0.494

Properties
Energy relative to the lowest polymorph listed for this composition ... 0.45 eV/f.u.
Total energy ... -0.2102 Ha/atom
ρ ... 7.1 Mg/m³